Entry 1:
Here is a geometry-optimized LiVCdF6 structure from Alexandria. Energies are from PBEsol.

Results
E_tot: -5.356 eV/atom
Energy relative to the elements, uncorrected: -23.837 eV/f.u.

Lattice parameters (Å, degrees): 5.117 5.117 9.571 90.00 90.00 120.00
Atoms (fractional coordinates):
Li: 0.333 0.667 0.250
Li: 0.667 0.333 0.750
V: 0.333 0.667 0.750
V: 0.667 0.333 0.250
Cd: 0.000 0.000 0.000
Cd: 0.000 0.000 0.500
F: 0.011 0.361 0.638
F: 0.011 0.650 0.862
F: 0.350 0.361 0.862
F: 0.350 0.989 0.638
F: 0.361 0.011 0.138
F: 0.361 0.350 0.362
F: 0.639 0.650 0.638
F: 0.639 0.989 0.862
F: 0.650 0.011 0.362
F: 0.650 0.639 0.138
F: 0.989 0.350 0.138
F: 0.989 0.639 0.362

---

Entry 2:
Here is a geometry-optimized MnCdF3 structure from Alexandria. Energies are from PBEsol.

Results
E_tot: -4.600 eV/atom
Energy relative to the elements, uncorrected: -6.258 eV/f.u.

Lattice parameters (Å, degrees): 4.366 4.366 4.366 90.00 90.00 90.00
Atoms (fractional coordinates):
Mn: 0.000 0.000 0.000
Cd: 0.500 0.500 0.500
F: 0.000 0.500 0.500
F: 0.500 0.000 0.500
F: 0.500 0.500 0.000

---

Entry 3:
Here is a geometry-optimized MnCdN2F structure from Alexandria. Energies are from PBEsol.

Results
Energy above the lowest structure with this stoichiometry: 1228 meV/atom
E_tot: -4.872 eV/atom
Energy relative to the elements, uncorrected: 5.580 eV/f.u.

Lattice parameters (Å, degrees): 4.144 4.144 4.229 90.00 90.00 90.00
Atoms (fractional coordinates):
Mn: 0.000 0.000 0.000
Cd: 0.500 0.500 0.500
N: 0.000 0.500 0.500
N: 0.500 0.000 0.500
F: 0.500 0.500 0.000